[1]
This record from the Alexandria database describes YMo2Au after structural relaxation. The functional is GGA-PBEsol.

space-group type	P4/mmm (123)
total energy	-32.7	eV for the cell shown
excess energy over the best structure of this formula in the dataset	210.3	meV/atom

a = 2.7871 Å, b = 2.7871 Å, c = 9.1572 Å
α = 90.00°, β = 90.00°, γ = 90.00°
Fractional positions:
1 Y 0.0000 0.0000 0.0000
2 Mo 0.5000 0.5000 0.2715
3 Mo 0.5000 0.5000 0.7285
4 Au 0.0000 0.0000 0.5000

***

[2]
This record from the Alexandria database describes YMo2Au after structural relaxation. The functional is GGA-PBEsol.

space-group type	C2/m (12)
total energy	-33.3	eV for the cell shown
excess energy over the best structure of this formula in the dataset	59.9	meV/atom

a = 5.4915 Å, b = 5.4915 Å, c = 4.7508 Å
α = 107.16°, β = 107.16°, γ = 34.32°
Fractional positions:
1 Y 0.0000 0.0000 0.0000
2 Mo 0.2344 0.2344 0.6793
3 Mo 0.7656 0.7656 0.3207
4 Au 0.5000 0.5000 0.5000

***

[3]
This record from the Alexandria database describes YMo2Au after structural relaxation. The functional is GGA-PBEsol.

space-group type	Pmmm (47)
total energy	-33.5	eV for the cell shown
excess energy over the best structure of this formula in the dataset	0.0	meV/atom

a = 3.4610 Å, b = 4.3587 Å, c = 4.7699 Å
α = 90.00°, β = 90.00°, γ = 90.00°
Fractional positions:
1 Y 0.0000 0.0000 0.0000
2 Mo 0.0000 0.5000 0.5000
3 Mo 0.5000 0.0000 0.5000
4 Au 0.5000 0.5000 0.0000

***

[4]
This record from the Alexandria database describes Y2MoAu after structural relaxation. The functional is GGA-PBEsol.

space-group type	P4/mmm (123)
total energy	-29.7	eV for the cell shown

a = 4.9254 Å, b = 4.9254 Å, c = 3.4876 Å
α = 90.00°, β = 90.00°, γ = 90.00°
Fractional positions:
1 Y 0.0000 0.5000 0.0000
2 Y 0.5000 0.0000 0.0000
3 Mo 0.0000 0.0000 0.5000
4 Au 0.5000 0.5000 0.5000

***

Values of energy of formation, in order: 0.40 0.25 0.19 -0.08, all in eV per atom.